# 1
Entry from Alexandria: crystalline TmIBr at its relaxed geometry (PBE).

Geometry as POSCAR:
```
TmIBr
1.0
3.956 0.000 0.000
-1.978 3.426 0.000
0.000 0.000 7.766
I Br Tm
1 1 1
direct
0.000 0.000 0.090
0.333 0.667 0.567
0.667 0.333 0.343
```

Calculated values
As for the total magnetization: 0.000 μB per formula unit. The offset from the most stable computed form comes out at 13.8 meV/atom.

# 2
Entry from Alexandria: crystalline TmI3Br at its relaxed geometry (PBE).

Geometry as POSCAR:
```
TmI3Br
1.0
-1.614 3.747 7.552
0.151 -8.567 -0.496
7.391 -0.741 -4.300
I Tm Br
6 2 2
direct
0.529 0.796 0.761
0.035 0.296 0.768
0.062 0.280 0.283
0.035 0.767 0.239
0.529 0.267 0.232
0.997 0.780 0.717
0.530 0.032 0.998
0.034 0.532 0.002
0.545 0.283 0.762
0.521 0.783 0.238
```

Calculated values
As for the total magnetization: 0.000 μB per formula unit. The total DFT energy (no corrections) comes out at -3.247 eV/atom.

# 3
Entry from Alexandria: crystalline U2I8Br at its relaxed geometry (PBE).

Geometry as POSCAR:
```
U2I8Br
1.0
6.027 -0.567 -0.852
-1.254 10.363 4.664
-1.310 -0.308 11.354
Br I U
1 8 2
direct
0.000 0.000 0.000
0.647 0.148 0.148
0.149 0.380 0.923
0.149 0.923 0.380
0.851 0.620 0.077
0.693 0.685 0.685
0.353 0.852 0.852
0.851 0.077 0.620
0.307 0.315 0.315
0.841 0.843 0.843
0.159 0.157 0.157
```

Calculated values
As for the total magnetization: 3.000 μB per formula unit. The total DFT energy (no corrections) comes out at -4.103 eV/atom.